ZrTl2In, relaxed, DFT PBE; crystal system = monoclinic; E_form = 0.057 eV/atom; SG = No. 12; offset from the most stable computed form = 66.7 meV/atom
1.0
11.964 0.000 0.000
0.000 3.454 0.000
-2.348 0.000 4.863
Zr Tl In
2 4 2
direct
0.000 0.000 0.000
0.500 0.500 0.000
0.244 0.500 0.244
0.256 0.000 0.756
0.744 0.000 0.244
0.756 0.500 0.756
0.000 0.500 0.500
0.500 0.000 0.500



Zr6TlIn, relaxed, DFT PBE; crystal system = hexagonal; E_form = -0.154 eV/atom; SG = No. 187
1.0
6.322 0.000 0.000
-3.161 5.475 0.000
0.000 0.000 5.236
Zr Tl In
6 1 1
direct
0.003 0.501 0.000
0.332 0.166 0.500
0.499 0.501 0.000
0.499 0.997 0.000
0.834 0.166 0.500
0.834 0.668 0.500
0.000 0.000 0.000
0.333 0.667 0.500



ZrTlIn3, relaxed, DFT PBE; crystal system = cubic; E_form = 0.974 eV/atom; SG = No. 221; offset from the most stable computed form = 560.0 meV/atom
1.0
5.502 0.000 0.000
0.000 5.502 0.000
0.000 0.000 5.502
Zr Tl In
1 1 3
direct
0.000 0.000 0.000
0.500 0.500 0.500
0.000 0.500 0.500
0.500 0.000 0.500
0.500 0.500 0.000



ZrTl2In, relaxed, DFT PBE; crystal system = trigonal; E_form = 0.063 eV/atom; SG = No. 166; offset from the most stable computed form = 72.8 meV/atom
1.0
3.388 0.000 0.000
-1.694 2.934 0.000
0.000 0.000 30.798
Zr Tl In
3 6 3
direct
0.000 0.000 0.000
0.333 0.667 0.667
0.667 0.333 0.333
0.000 0.000 0.253
0.000 0.000 0.747
0.333 0.667 0.414
0.333 0.667 0.919
0.667 0.333 0.081
0.667 0.333 0.586
0.000 0.000 0.500
0.333 0.667 0.167
0.667 0.333 0.833